(1)
Pm2Al3Au5 | Alexandria | GGA-PBE | relaxed; DOS at the Fermi energy = 11.5 states/eV/cell; formation energy = -66 kJ/mol of atoms; size of the total moment = 0.000 μB per cell
1.0
-5.4191 6.1501 3.1213
5.4191 -6.1501 3.1213
5.4191 6.1501 -3.1213
Pm Al Au
4 6 10
Direct
0.1338 0.2315 0.3653
0.3662 0.7315 0.0977
0.6338 0.2685 0.9023
0.8662 0.7685 0.6347
0.1327 0.8860 0.0187
0.2500 0.7500 0.5000
0.3673 0.3860 0.7533
0.6327 0.6140 0.2467
0.7500 0.2500 0.5000
0.8673 0.1140 0.9813
0.0156 0.7500 0.2656
0.0999 0.6594 0.7592
0.2500 0.2500 0.0000
0.4001 0.1594 0.5595
0.4844 0.7500 0.7344
0.5156 0.2500 0.2656
0.5999 0.8406 0.4405
0.7500 0.7500 0.0000
0.9001 0.3406 0.2408
0.9844 0.2500 0.7344

=====

(2)
Ba3Pm3HoSe8 | Alexandria | GGA-PBE | relaxed; DOS at the Fermi energy = 3.6 states/eV/cell; E_form (uncorrected) = -1939 meV/atom; size of the total moment = 0.000 μB per cell
1.0
4.2909 2.4773 7.5605
-4.2909 2.4773 7.5605
0.0000 -4.9547 7.5605
Ba Pm Ho Se
3 3 1 8
Direct
0.0000 0.5000 0.5000
0.5000 0.0000 0.5000
0.5000 0.5000 0.0000
0.0000 0.0000 0.5000
0.0000 0.5000 0.0000
0.5000 0.0000 0.0000
0.5000 0.5000 0.5000
0.2404 0.2404 0.2404
0.2451 0.7342 0.7342
0.2658 0.2658 0.7549
0.2658 0.7549 0.2658
0.7342 0.2451 0.7342
0.7342 0.7342 0.2451
0.7549 0.2658 0.2658
0.7596 0.7596 0.7596

=====

(3)
ZrSeI2 | Alexandria | GGA-PBE | relaxed; DOS at the Fermi energy = 2.4 states/eV/cell; E_form (uncorrected) = -23 meV/atom; polymorph energy (0 for the lowest one) = 883 meV per atom; size of the total moment = 0.000 μB per cell
1.0
0.0000 3.7036 3.7036
3.7036 0.0000 3.7036
3.7036 3.7036 0.0000
Zr Se I
1 1 2
Direct
0.0000 0.0000 0.0000
0.5000 0.5000 0.5000
0.2500 0.2500 0.2500
0.7500 0.7500 0.7500

=====

(4)
Pm12Ho3Tl | Alexandria | GGA-PBE | relaxed; DOS at the Fermi energy = 22.5 states/eV/cell; formation energy = -3 kJ/mol of atoms; size of the total moment = 0.000 μB per cell
1.0
5.0576 0.0000 0.0000
0.0000 5.0576 0.0000
0.0000 0.0000 20.5390
Pm Ho Tl
12 3 1
Direct
0.0000 0.0000 0.0000
0.0000 0.0000 0.2468
0.0000 0.0000 0.5000
0.0000 0.0000 0.7532
0.0000 0.5000 0.1219
0.0000 0.5000 0.3738
0.0000 0.5000 0.6262
0.0000 0.5000 0.8781
0.5000 0.0000 0.1219
0.5000 0.0000 0.3738
0.5000 0.0000 0.6262
0.5000 0.0000 0.8781
0.5000 0.5000 0.2486
0.5000 0.5000 0.5000
0.5000 0.5000 0.7514
0.5000 0.5000 0.0000